Computed, not measured: crystalline ScCS2Cl at its relaxed geometry at the PBE level of DFT.

Unit cell a=4.9889 b=4.9889 c=4.7706 alpha=90.00 beta=90.00 gamma=90.00
Space group P4/mmm (No. 123)
One atom of each set of equivalent atoms:
Sc (0.0000, 0.0000, 0.0000)
C (0.5000, 0.5000, 0.5000)
S (0.0000, 0.5000, 0.0000)
Cl (0.0000, 0.0000, 0.5000)

Values from the calculation:
energy above the most stable polymorph in this dataset	251	kJ/mol of formula units
formation energy from raw total energies	4.066	eV per formula unit